[1]
# TaAgBr3 PBE optimized geometry
# Final energy   -3.82 eV/atom
# Formation energy without anion corrections   0.13 eV per atom
data_TaAgBr3
_chemical_formula_sum 'Ta1 Ag1 Br3'
_symmetry_space_group_name_H-M 'P m -3 m'
_symmetry_Int_Tables_number 221
_symmetry_space_group_name_Hall '-P 4 2 3'
_cell_length_a 5.176
_cell_length_b 5.176
_cell_length_c 5.176
_cell_angle_alpha 90.00
_cell_angle_beta 90.00
_cell_angle_gamma 90.00
loop_
_atom_site_label
_atom_site_type_symbol
_atom_site_fract_x
_atom_site_fract_y
_atom_site_fract_z
_atom_site_occupancy
Ta1 Ta 0.000 0.000 0.000 1
Ag1 Ag 0.500 0.500 0.500 1
Br1 Br 0.000 0.000 0.500 1

=====

[2]
# Ce5Tc2Ge5 PBE optimized geometry
# DFT formation energy   -539 meV/atom
# Final energy   -6.66 eV/atom
data_Ce5Tc2Ge5
_chemical_formula_sum 'Ce10 Tc4 Ge10'
_symmetry_space_group_name_H-M 'C 1 2/m 1'
_symmetry_Int_Tables_number 12
_symmetry_space_group_name_Hall '-C 2y'
_cell_length_a 15.586
_cell_length_b 4.219
_cell_length_c 11.326
_cell_angle_alpha 90.00
_cell_angle_beta 133.26
_cell_angle_gamma 90.00
loop_
_atom_site_label
_atom_site_type_symbol
_atom_site_fract_x
_atom_site_fract_y
_atom_site_fract_z
_atom_site_occupancy
Ce1 Ce 0.000 0.000 0.000 1
Ce2 Ce 0.122 0.500 0.798 1
Ce3 Ce 0.206 0.500 0.590 1
Tc1 Tc 0.103 0.500 0.243 1
Ge1 Ge 0.000 0.000 0.500 1
Ge2 Ge 0.058 0.000 0.320 1
Ge3 Ge 0.200 0.500 0.130 1

=====

[3]
# NdZrB12 PBE optimized geometry
# DFT formation energy   -247 meV/atom
# Final energy   -6.92 eV/atom
data_NdZrB12
_chemical_formula_sum 'Nd1 Zr1 B12'
_symmetry_space_group_name_H-M 'P 4/m m m'
_symmetry_Int_Tables_number 123
_symmetry_space_group_name_Hall '-P 4 2'
_cell_length_a 4.099
_cell_length_b 4.099
_cell_length_c 8.179
_cell_angle_alpha 90.00
_cell_angle_beta 90.00
_cell_angle_gamma 90.00
loop_
_atom_site_label
_atom_site_type_symbol
_atom_site_fract_x
_atom_site_fract_y
_atom_site_fract_z
_atom_site_occupancy
Nd1 Nd 0.000 0.000 0.000 1
Zr1 Zr 0.000 0.000 0.500 1
B1 B 0.198 0.500 0.253 1
B2 B 0.500 0.500 0.101 1
B3 B 0.500 0.500 0.402 1